Entry 1:
Material: PrBIrO5
Method: DFT, PBE
State: relaxed

Unit cell a=5.475 b=5.475 c=6.862 alpha=103.27 beta=103.27 gamma=108.59
Positions (direct):
B: 0.694 0.306 0.250
B: 0.306 0.694 0.750
O: 0.419 0.245 0.081
O: 0.245 0.419 0.581
O: 0.581 0.755 0.919
O: 0.755 0.581 0.419
O: 0.911 0.089 0.750
O: 0.324 0.889 0.631
O: 0.111 0.676 0.869
O: 0.089 0.911 0.250
O: 0.676 0.111 0.369
O: 0.889 0.324 0.131
Pr: 0.356 0.644 0.250
Pr: 0.644 0.356 0.750
Ir: 0.000 0.000 0.000
Ir: 0.000 0.000 0.500

Output
Formation energy from raw total energies: -196.5 kJ per mole of atoms
Space group: No. 15
Total magnetic moment: 0.000 μB per atom
Electronic total energy: -7.675 eV per atom



Entry 2:
Material: RbBIrO6
Method: DFT, PBE
State: relaxed

Unit cell a=5.507 b=5.515 c=6.011 alpha=96.07 beta=95.04 gamma=59.28
Positions (direct):
Ir: 0.322 0.316 0.532
O: 0.010 0.501 0.267
O: 0.475 0.478 0.405
O: 0.984 0.675 0.636
O: 0.500 0.265 0.805
O: 0.618 0.964 0.354
O: 0.163 0.107 0.541
Rb: 0.079 0.970 0.042
B: 0.850 0.723 0.417

Output
Formation energy from raw total energies: -110.8 kJ per mole of atoms
Space group: No. 1
Total magnetic moment: 0.109 μB per atom
Electronic total energy: -6.288 eV per atom



Entry 3:
Material: SmB2IrO8
Method: DFT, PBE
State: relaxed

Unit cell a=4.932 b=4.932 c=6.569 alpha=90.00 beta=90.00 gamma=120.00
Positions (direct):
O: 0.333 0.667 0.523
O: 0.171 0.342 0.810
O: 0.667 0.333 0.477
O: 0.829 0.658 0.190
O: 0.171 0.829 0.810
O: 0.342 0.171 0.190
O: 0.658 0.829 0.810
O: 0.829 0.171 0.190
B: 0.333 0.667 0.741
B: 0.667 0.333 0.259
Sm: 0.000 0.000 0.500
Ir: 0.000 0.000 0.000

Output
Formation energy from raw total energies: -163.0 kJ per mole of atoms
Space group: No. 164
Total magnetic moment: 0.114 μB per atom
Electronic total energy: -7.239 eV per atom



Entry 4:
Material: SrBIrO5
Method: DFT, PBE
State: relaxed

Unit cell a=5.453 b=5.453 c=7.087 alpha=104.63 beta=104.63 gamma=106.72
Positions (direct):
O: 0.072 0.928 0.250
O: 0.592 0.765 0.904
O: 0.880 0.309 0.128
O: 0.928 0.072 0.750
O: 0.235 0.408 0.596
O: 0.408 0.235 0.096
O: 0.309 0.880 0.628
O: 0.691 0.120 0.372
O: 0.765 0.592 0.404
O: 0.120 0.691 0.872
Sr: 0.346 0.654 0.250
Sr: 0.654 0.346 0.750
Ir: 0.000 0.000 0.500
Ir: 0.000 0.000 0.000
B: 0.303 0.697 0.750
B: 0.697 0.303 0.250

Output
Formation energy from raw total energies: -170.5 kJ per mole of atoms
Space group: No. 15
Total magnetic moment: 0.028 μB per atom
Electronic total energy: -7.019 eV per atom



Entry 5:
Material: Sr2BIrO6
Method: DFT, PBE
State: relaxed

Unit cell a=5.487 b=5.365 c=6.098 alpha=56.32 beta=55.81 gamma=75.24
Positions (direct):
Ir: 0.000 0.000 0.000
O: 0.228 0.228 0.545
O: 0.320 0.709 0.000
O: 0.680 0.291 0.000
O: 0.213 0.244 0.000
O: 0.772 0.772 0.455
O: 0.787 0.756 0.000
Sr: 0.255 0.755 0.490
Sr: 0.745 0.245 0.510
B: 0.500 0.500 0.000

Output
Formation energy from raw total energies: -170.1 kJ per mole of atoms
Space group: No. 12
Total magnetic moment: 0.185 μB per atom
Electronic total energy: -6.628 eV per atom



Entry 6:
Material: TbB2IrO8
Method: DFT, PBE
State: relaxed

Unit cell a=4.929 b=4.929 c=6.444 alpha=90.00 beta=90.00 gamma=120.00
Positions (direct):
O: 0.830 0.659 0.195
O: 0.667 0.333 0.487
O: 0.341 0.170 0.195
O: 0.659 0.830 0.805
O: 0.170 0.341 0.805
O: 0.333 0.667 0.513
O: 0.170 0.830 0.805
O: 0.830 0.170 0.195
Ir: 0.000 0.000 0.000
Tb: 0.000 0.000 0.500
B: 0.333 0.667 0.736
B: 0.667 0.333 0.264

Output
Formation energy from raw total energies: -162.1 kJ per mole of atoms
Space group: No. 164
Total magnetic moment: 0.121 μB per atom
Electronic total energy: -7.223 eV per atom



Entry 7:
Material: TlBIrO6
Method: DFT, PBE
State: relaxed

Unit cell a=5.207 b=4.429 c=5.053 alpha=83.52 beta=87.25 gamma=64.83
Positions (direct):
O: 0.625 0.922 0.332
O: 0.357 0.048 0.796
O: 0.357 0.595 0.204
O: 0.992 0.340 0.339
O: 0.625 0.453 0.668
O: 0.992 0.668 0.661
B: 0.785 0.608 0.500
Ir: 0.333 0.334 0.500
Tl: 0.934 0.033 0.000

Output
Formation energy from raw total energies: -94.1 kJ per mole of atoms
Space group: No. 5
Total magnetic moment: 0.000 μB per atom
Electronic total energy: -6.271 eV per atom



Entry 8:
Material: TlB2IrO6
Method: DFT, PBE
State: relaxed

Unit cell a=4.890 b=4.890 c=6.066 alpha=66.23 beta=66.23 gamma=60.00
Positions (direct):
B: 0.238 0.238 0.285
B: 0.762 0.762 0.715
O: 0.059 0.497 0.724
O: 0.941 0.503 0.276
O: 0.503 0.280 0.276
O: 0.497 0.720 0.724
O: 0.280 0.941 0.276
O: 0.720 0.059 0.724
Tl: 0.000 0.000 0.000
Ir: 0.500 0.500 0.500

Output
Formation energy from raw total energies: -142.7 kJ per mole of atoms
Space group: No. 148
Total magnetic moment: 0.000 μB per atom
Electronic total energy: -6.912 eV per atom